VASP calculation (PBE) on crystalline Pm2ScCd at its relaxed geometry.

ΔE_f = -0.10 eV/atom
Total moment = 0.00 μB per cell
DFT total energy = -17.14 eV/cell
Offset from the most stable computed form = 14 meV per atom
Crystal system = tetragonal

The structure in CIF format:
```
data_Pm2ScCd
_cell_length_a 3.705
_cell_length_b 5.537
_cell_length_c 5.537
_cell_angle_alpha 90.00
_cell_angle_beta 90.00
_cell_angle_gamma 90.00
_space_group_name_H-M_alt 'P 1'
_space_group_IT_number 1
loop_
_space_group_symop_operation_xyz
'x,y,z'
loop_
_atom_site_label
_atom_site_type_symbol
_atom_site_fract_x
_atom_site_fract_y
_atom_site_fract_z
_atom_site_occupancy
Pm1 Pm 0.000 0.000 0.500 1
Pm2 Pm 0.000 0.500 0.000 1
Sc1 Sc 0.500 0.500 0.500 1
Cd1 Cd 0.500 0.000 0.000 1
```

VASP calculation (PBE) on crystalline Pm3ScCd at its relaxed geometry.

ΔE_f = -0.04 eV/atom
Total moment = 0.00 μB per cell
DFT total energy = -86.70 eV/cell
Offset from the most stable computed form = 39 meV per atom
Crystal system = monoclinic

The structure in CIF format:
```
data_Pm3ScCd
_cell_length_a 6.963
_cell_length_b 8.047
_cell_length_c 11.017
_cell_angle_alpha 79.34
_cell_angle_beta 90.00
_cell_angle_gamma 90.00
_space_group_name_H-M_alt 'P 1'
_space_group_IT_number 1
loop_
_space_group_symop_operation_xyz
'x,y,z'
loop_
_atom_site_label
_atom_site_type_symbol
_atom_site_fract_x
_atom_site_fract_y
_atom_site_fract_z
_atom_site_occupancy
Pm1 Pm 0.764 0.346 0.397 1
Pm2 Pm 0.482 0.215 0.171 1
Pm3 Pm 0.736 0.346 0.897 1
Pm4 Pm 0.484 0.213 0.650 1
Pm5 Pm 0.982 0.785 0.329 1
Pm6 Pm 0.018 0.215 0.671 1
Pm7 Pm 0.984 0.787 0.850 1
Sc1 Sc 0.754 0.571 0.118 1
Sc2 Sc 0.746 0.571 0.618 1
Cd1 Cd 0.776 0.938 0.557 1
Cd2 Cd 0.276 0.062 0.943 1
Pm8 Pm 0.518 0.785 0.829 1
Pm9 Pm 0.016 0.213 0.150 1
Cd3 Cd 0.724 0.938 0.057 1
Pm10 Pm 0.264 0.654 0.103 1
Sc3 Sc 0.246 0.429 0.882 1
Pm11 Pm 0.236 0.654 0.603 1
Pm12 Pm 0.516 0.787 0.350 1
Cd4 Cd 0.224 0.062 0.443 1
Sc4 Sc 0.254 0.429 0.382 1
```

VASP calculation (PBE) on crystalline PmScCd at its relaxed geometry.

ΔE_f = 0.14 eV/atom
Total moment = 0.29 μB per cell
DFT total energy = -11.59 eV/cell
Offset from the most stable computed form = 310 meV per atom
Crystal system = cubic

The structure in CIF format:
```
data_PmScCd
_cell_length_a 5.068
_cell_length_b 5.068
_cell_length_c 5.068
_cell_angle_alpha 89.97
_cell_angle_beta 120.02
_cell_angle_gamma 120.02
_space_group_name_H-M_alt 'P 1'
_space_group_IT_number 1
loop_
_space_group_symop_operation_xyz
'x,y,z'
loop_
_atom_site_label
_atom_site_type_symbol
_atom_site_fract_x
_atom_site_fract_y
_atom_site_fract_z
_atom_site_occupancy
Cd1 Cd 0.444 0.222 0.667 1
Pm1 Pm 0.944 0.472 0.417 1
Sc1 Sc 0.944 0.972 0.917 1
```

VASP calculation (PBE) on crystalline PmSc2Cd3 at its relaxed geometry.

ΔE_f = -0.29 eV/atom
Total moment = 0.58 μB per cell
DFT total energy = -21.91 eV/cell
Crystal system = tetragonal

The structure in CIF format:
```
data_PmSc2Cd3
_cell_length_a 3.604
_cell_length_b 3.604
_cell_length_c 11.103
_cell_angle_alpha 90.00
_cell_angle_beta 90.00
_cell_angle_gamma 90.00
_space_group_name_H-M_alt 'P 1'
_space_group_IT_number 1
loop_
_space_group_symop_operation_xyz
'x,y,z'
loop_
_atom_site_label
_atom_site_type_symbol
_atom_site_fract_x
_atom_site_fract_y
_atom_site_fract_z
_atom_site_occupancy
Sc1 Sc 0.500 0.500 0.156 1
Cd1 Cd 0.000 0.000 0.000 1
Cd2 Cd 0.000 0.000 0.307 1
Cd3 Cd 0.000 0.000 0.693 1
Sc2 Sc 0.500 0.500 0.844 1
Pm1 Pm 0.500 0.500 0.500 1
```

VASP calculation (PBE) on crystalline Pm2ScCd at its relaxed geometry.

ΔE_f = -0.02 eV/atom
Total moment = 0.00 μB per cell
DFT total energy = -16.84 eV/cell
Offset from the most stable computed form = 90 meV per atom
Crystal system = trigonal

The structure in CIF format:
```
data_Pm2ScCd
_cell_length_a 3.548
_cell_length_b 3.548
_cell_length_c 10.986
_cell_angle_alpha 80.71
_cell_angle_beta 80.71
_cell_angle_gamma 60.00
_space_group_name_H-M_alt 'P 1'
_space_group_IT_number 1
loop_
_space_group_symop_operation_xyz
'x,y,z'
loop_
_atom_site_label
_atom_site_type_symbol
_atom_site_fract_x
_atom_site_fract_y
_atom_site_fract_z
_atom_site_occupancy
Sc1 Sc 0.500 0.500 0.500 1
Cd1 Cd 0.667 0.667 0.000 1
Pm1 Pm 0.083 0.083 0.752 1
Pm2 Pm 0.251 0.251 0.248 1
```

VASP calculation (PBE) on crystalline Pm4ScCd5 at its relaxed geometry.

ΔE_f = -0.30 eV/atom
Total moment = 1.79 μB per cell
DFT total energy = -32.94 eV/cell
Crystal system = tetragonal

The structure in CIF format:
```
data_Pm4ScCd5
_cell_length_a 3.737
_cell_length_b 3.737
_cell_length_c 19.256
_cell_angle_alpha 90.00
_cell_angle_beta 90.00
_cell_angle_gamma 90.00
_space_group_name_H-M_alt 'P 1'
_space_group_IT_number 1
loop_
_space_group_symop_operation_xyz
'x,y,z'
loop_
_atom_site_label
_atom_site_type_symbol
_atom_site_fract_x
_atom_site_fract_y
_atom_site_fract_z
_atom_site_occupancy
Pm1 Pm 0.000 0.000 0.810 1
Sc1 Sc 0.000 0.000 0.000 1
Pm2 Pm 0.000 0.000 0.397 1
Cd1 Cd 0.500 0.500 0.706 1
Pm3 Pm 0.000 0.000 0.603 1
Cd2 Cd 0.500 0.500 0.294 1
Cd3 Cd 0.500 0.500 0.500 1
Cd4 Cd 0.500 0.500 0.084 1
Pm4 Pm 0.000 0.000 0.190 1
Cd5 Cd 0.500 0.500 0.916 1
```

VASP calculation (PBE) on crystalline PmSc2Cd2 at its relaxed geometry.

ΔE_f = -0.08 eV/atom
Total moment = 1.05 μB per cell
DFT total energy = -19.63 eV/cell
Offset from the most stable computed form = 0 meV per atom
Crystal system = orthorhombic

The structure in CIF format:
```
data_PmSc2Cd2
_cell_length_a 3.436
_cell_length_b 3.767
_cell_length_c 10.115
_cell_angle_alpha 79.27
_cell_angle_beta 90.00
_cell_angle_gamma 90.00
_space_group_name_H-M_alt 'P 1'
_space_group_IT_number 1
loop_
_space_group_symop_operation_xyz
'x,y,z'
loop_
_atom_site_label
_atom_site_type_symbol
_atom_site_fract_x
_atom_site_fract_y
_atom_site_fract_z
_atom_site_occupancy
Sc1 Sc 0.000 0.187 0.626 1
Cd1 Cd 0.500 0.607 0.786 1
Pm1 Pm 0.000 0.000 0.000 1
Sc2 Sc 0.000 0.813 0.374 1
Cd2 Cd 0.500 0.393 0.214 1
```

VASP calculation (PBE) on crystalline Pm5Sc4Cd at its relaxed geometry.

ΔE_f = -0.02 eV/atom
Total moment = 0.01 μB per cell
DFT total energy = -50.15 eV/cell
Crystal system = tetragonal

The structure in CIF format:
```
data_Pm5Sc4Cd
_cell_length_a 3.633
_cell_length_b 3.633
_cell_length_c 21.957
_cell_angle_alpha 90.00
_cell_angle_beta 90.00
_cell_angle_gamma 90.00
_space_group_name_H-M_alt 'P 1'
_space_group_IT_number 1
loop_
_space_group_symop_operation_xyz
'x,y,z'
loop_
_atom_site_label
_atom_site_type_symbol
_atom_site_fract_x
_atom_site_fract_y
_atom_site_fract_z
_atom_site_occupancy
Sc1 Sc 0.000 0.000 0.400 1
Pm1 Pm 0.500 0.500 0.300 1
Pm2 Pm 0.500 0.500 0.500 1
Pm3 Pm 0.500 0.500 0.096 1
Cd1 Cd 0.000 0.000 0.000 1
Pm4 Pm 0.500 0.500 0.904 1
Sc2 Sc 0.000 0.000 0.198 1
Pm5 Pm 0.500 0.500 0.700 1
Sc3 Sc 0.000 0.000 0.802 1
Sc4 Sc 0.000 0.000 0.600 1
```

VASP calculation (PBE) on crystalline PmSc5Cd3 at its relaxed geometry.

ΔE_f = -0.15 eV/atom
Total moment = 0.00 μB per cell
DFT total energy = -81.09 eV/cell
Crystal system = hexagonal

The structure in CIF format:
```
data_PmSc5Cd3
_cell_length_a 6.498
_cell_length_b 8.784
_cell_length_c 8.784
_cell_angle_alpha 120.00
_cell_angle_beta 90.00
_cell_angle_gamma 90.00
_space_group_name_H-M_alt 'P 1'
_space_group_IT_number 1
loop_
_space_group_symop_operation_xyz
'x,y,z'
loop_
_atom_site_label
_atom_site_type_symbol
_atom_site_fract_x
_atom_site_fract_y
_atom_site_fract_z
_atom_site_occupancy
Sc1 Sc 0.750 0.339 0.000 1
Sc2 Sc 0.000 0.333 0.667 1
Cd1 Cd 0.750 0.662 0.000 1
Sc3 Sc 0.500 0.667 0.333 1
Cd2 Cd 0.250 0.338 0.000 1
Sc4 Sc 0.750 0.661 0.661 1
Cd3 Cd 0.250 0.000 0.338 1
Sc5 Sc 0.250 0.000 0.661 1
Cd4 Cd 0.750 0.338 0.338 1
Pm1 Pm 0.000 0.000 0.000 1
Sc6 Sc 0.750 0.000 0.339 1
Sc7 Sc 0.250 0.339 0.339 1
Sc8 Sc 0.250 0.661 0.000 1
Cd5 Cd 0.750 0.000 0.662 1
Sc9 Sc 0.500 0.333 0.667 1
Cd6 Cd 0.250 0.662 0.662 1
Pm2 Pm 0.500 0.000 0.000 1
Sc10 Sc 0.000 0.667 0.333 1
```

VASP calculation (PBE) on crystalline PmScCd at its relaxed geometry.

ΔE_f = -0.08 eV/atom
Total moment = 0.01 μB per cell
DFT total energy = -12.24 eV/cell
Offset from the most stable computed form = 91 meV per atom
Crystal system = trigonal

The structure in CIF format:
```
data_PmScCd
_cell_length_a 3.614
_cell_length_b 5.123
_cell_length_c 5.123
_cell_angle_alpha 120.00
_cell_angle_beta 90.00
_cell_angle_gamma 90.00
_space_group_name_H-M_alt 'P 1'
_space_group_IT_number 1
loop_
_space_group_symop_operation_xyz
'x,y,z'
loop_
_atom_site_label
_atom_site_type_symbol
_atom_site_fract_x
_atom_site_fract_y
_atom_site_fract_z
_atom_site_occupancy
Cd1 Cd 0.166 0.333 0.667 1
Pm1 Pm 0.667 0.667 0.333 1
Sc1 Sc 0.168 0.000 0.000 1
```